This record from Alexandria describes an optimized crystal structure of TaTiRh4. The functional is PBE-GGA.

Geometry as POSCAR:
```
TaTiRh4
1.0
10.203 0.000 0.000
0.000 3.070 0.000
-1.901 0.000 5.922
Ta Ti Rh
2 2 8
direct
0.000 0.000 0.000 Ta
0.500 0.500 0.000 Ta
0.000 0.000 0.500 Ti
0.500 0.500 0.500 Ti
0.150 0.500 0.331 Rh
0.152 0.500 0.821 Rh
0.348 0.000 0.179 Rh
0.350 0.000 0.669 Rh
0.650 0.000 0.331 Rh
0.652 0.000 0.821 Rh
0.848 0.500 0.179 Rh
0.850 0.500 0.669 Rh
```

Values from the calculation:
E_form	-2.8	eV/f.u.
excess energy over the best structure of this formula in the dataset	0	meV/atom


This record from Alexandria describes an optimized crystal structure of SiHg3W. The functional is PBE-GGA.

Geometry as POSCAR:
```
SiHg3W
1.0
5.073 0.000 0.000
0.000 5.073 0.000
0.000 0.000 5.073
Si Hg W
1 3 1
direct
0.000 0.000 0.000 Si
0.000 0.000 0.500 Hg
0.000 0.500 0.000 Hg
0.500 0.000 0.000 Hg
0.500 0.500 0.500 W
```

Values from the calculation:
raw formation energy	1.451	eV/atom
excess energy over the best structure of this formula in the dataset	23	meV/atom